PrYHgPb: optimized geometry, PBE-GGA.

magnetic moment: 0.000 μB per atom
D(E_F): 4.72 states/eV/f.u.
calculated density: 9.282 g/cm³
final energy: -17.23 eV/cell
DFT formation energy: -0.494 eV per atom

Geometry as CIF:
```
data_PrYHgPb
_space_group_name_H-M_alt 'P 1'
_space_group_IT_number 1
_cell_length_a 5.444
_cell_length_b 5.444
_cell_length_c 5.444
_cell_angle_alpha 60.00
_cell_angle_beta 60.00
_cell_angle_gamma 60.00
loop_
_space_group_symop_operation_xyz
'x,y,z'
loop_
_atom_site_label
_atom_site_fract_x
_atom_site_fract_y
_atom_site_fract_z
Pr1 0.000 0.000 0.000
Y1 0.500 0.500 0.500
Hg1 0.750 0.750 0.750
Pb1 0.250 0.250 0.250
```


PrZnHgPb: optimized geometry, PBE-GGA.

magnetic moment: 0.000 μB per atom
D(E_F): 2.73 states/eV/f.u.
calculated density: 9.801 g/cm³
final energy: -11.04 eV/cell
DFT formation energy: -0.243 eV per atom

Geometry as CIF:
```
data_PrZnHgPb
_space_group_name_H-M_alt 'P 1'
_space_group_IT_number 1
_cell_length_a 5.279
_cell_length_b 5.279
_cell_length_c 5.279
_cell_angle_alpha 60.00
_cell_angle_beta 60.00
_cell_angle_gamma 60.00
loop_
_space_group_symop_operation_xyz
'x,y,z'
loop_
_atom_site_label
_atom_site_fract_x
_atom_site_fract_y
_atom_site_fract_z
Pr1 0.000 0.000 0.000
Zn1 0.750 0.750 0.750
Hg1 0.250 0.250 0.250
Pb1 0.500 0.500 0.500
```